## Sr2MnAsC (PBE)

Data for a relaxed structure of Sr2MnAsC. Values from VASP.

The structure in Quantum ESPRESSO input format:
```
&SYSTEM
  ibrav = 0, nat = 5, ntyp = 4
/
ATOMIC_SPECIES
Sr 87.62 Sr.upf
Mn 54.94 Mn.upf
As 74.92 As.upf
C 12.01 C.upf
CELL_PARAMETERS angstrom
5.457 0.000 0.000
0.000 5.457 0.000
0.000 0.000 4.043
ATOMIC_POSITIONS crystal
Sr 0.000 0.500 0.000
Sr 0.500 0.000 0.000
Mn 0.000 0.000 0.500
As 0.500 0.500 0.500
C 0.500 0.500 0.000
```

Results
The calculated density is 4.37 Mg/m³. The calculation puts the volume at 120.40 Å³/cell. The calculation puts the density of states at the Fermi level at 7.6 states/eV/f.u. For the formation energy, the calculation gives 440 kJ/mol of formula units.